Version 1
# PBE with a Hubbard U Cr3BiO, optimized geometry
data_Cr3BiO
_symmetry_space_group_name_H-M 'P m -3 m'
_symmetry_Int_Tables_number 221
_symmetry_space_group_name_Hall '-P 4 2 3'
_cell_length_a 4.475
_cell_length_b 4.475
_cell_length_c 4.475
_cell_angle_alpha 90.00
_cell_angle_beta 90.00
_cell_angle_gamma 90.00
loop_
_atom_site_label
_atom_site_fract_x
_atom_site_fract_y
_atom_site_fract_z
_atom_site_occupancy
Cr1 0.000 0.000 0.500 1
Bi1 0.500 0.500 0.500 1
O1 0.000 0.000 0.000 1
# Size of the total moment in μB per formula unit: 13.0

Version 2
# PBE with a Hubbard U Cr3BiO, optimized geometry
data_Cr3BiO
_symmetry_space_group_name_H-M 'P m -3 m'
_symmetry_Int_Tables_number 221
_symmetry_space_group_name_Hall '-P 4 2 3'
_cell_length_a 5.427
_cell_length_b 5.427
_cell_length_c 5.427
_cell_angle_alpha 90.00
_cell_angle_beta 90.00
_cell_angle_gamma 90.00
loop_
_atom_site_label
_atom_site_fract_x
_atom_site_fract_y
_atom_site_fract_z
_atom_site_occupancy
Cr1 0.000 0.000 0.500 1
Bi1 0.000 0.000 0.000 1
O1 0.500 0.500 0.500 1
# Size of the total moment in μB per formula unit: 13.0

Most stable: version 1

Version 1
# PBE with a Hubbard U CrBiO5, optimized geometry
data_CrBiO5
_symmetry_space_group_name_H-M 'P 1 21/c 1'
_symmetry_Int_Tables_number 14
_cell_length_a 6.216
_cell_length_b 9.477
_cell_length_c 7.795
_cell_angle_alpha 90.00
_cell_angle_beta 101.99
_cell_angle_gamma 90.00
loop_
_symmetry_equiv_pos_as_xyz
'x,y,z'
'-x,-y,-z'
'-x,y+1/2,-z+1/2'
'x,-y+1/2,z+1/2'
loop_
_atom_site_label
_atom_site_fract_x
_atom_site_fract_y
_atom_site_fract_z
_atom_site_occupancy
Cr1 0.239 0.070 0.290 1
Bi1 0.355 0.682 0.470 1
O1 0.021 0.144 0.164 1
O2 0.218 0.077 0.491 1
O3 0.262 0.604 0.737 1
O4 0.341 0.052 0.944 1
O5 0.477 0.164 0.281 1
# Size of the total moment in μB per formula unit: 1.0

Version 2
# PBE with a Hubbard U CrBiO5, optimized geometry
data_CrBiO5
_symmetry_space_group_name_H-M 'P 4/n m m'
_symmetry_Int_Tables_number 129
_cell_length_a 7.324
_cell_length_b 7.324
_cell_length_c 4.211
_cell_angle_alpha 90.00
_cell_angle_beta 90.00
_cell_angle_gamma 90.00
loop_
_symmetry_equiv_pos_as_xyz
'x,y,z'
'-x,-y,-z'
'-y+1/2,x,z'
'y+1/2,-x,-z'
'-x+1/2,-y+1/2,z'
'x+1/2,y+1/2,-z'
'y,-x+1/2,z'
'-y,x+1/2,-z'
'x+1/2,-y,-z'
'-x+1/2,y,z'
'-y,-x,-z'
'y,x,z'
'-x,y+1/2,-z'
'x,-y+1/2,z'
'y+1/2,x+1/2,-z'
'-y+1/2,-x+1/2,z'
loop_
_atom_site_label
_atom_site_fract_x
_atom_site_fract_y
_atom_site_fract_z
_atom_site_occupancy
Cr1 0.250 0.750 0.000 1
Bi1 0.250 0.250 0.216 1
O1 0.064 0.750 0.771 1
O2 0.250 0.250 0.715 1
# Size of the total moment in μB per formula unit: 0.0

Most stable: version 2

Version 1
# PBE with a Hubbard U CrBiPO2, optimized geometry
data_CrBiPO2
_symmetry_space_group_name_H-M 'P 4/m m m'
_symmetry_Int_Tables_number 123
_symmetry_space_group_name_Hall '-P 4 2'
_cell_length_a 3.918
_cell_length_b 3.918
_cell_length_c 4.892
_cell_angle_alpha 90.00
_cell_angle_beta 90.00
_cell_angle_gamma 90.00
loop_
_atom_site_label
_atom_site_fract_x
_atom_site_fract_y
_atom_site_fract_z
_atom_site_occupancy
Cr1 0.000 0.000 0.000 1
Bi1 0.500 0.500 0.500 1
P1 0.000 0.000 0.500 1
O1 0.000 0.500 0.000 1
# Size of the total moment in μB per formula unit: 2.2

Version 2
# PBE with a Hubbard U CrBiPO2, optimized geometry
data_CrBiPO2
_symmetry_space_group_name_H-M 'P 4/m m m'
_symmetry_Int_Tables_number 123
_symmetry_space_group_name_Hall '-P 4 2'
_cell_length_a 4.132
_cell_length_b 4.132
_cell_length_c 5.553
_cell_angle_alpha 90.00
_cell_angle_beta 90.00
_cell_angle_gamma 90.00
loop_
_atom_site_label
_atom_site_fract_x
_atom_site_fract_y
_atom_site_fract_z
_atom_site_occupancy
Cr1 0.000 0.000 0.000 1
Bi1 0.500 0.500 0.500 1
P1 0.500 0.500 0.000 1
O1 0.000 0.500 0.500 1
# Size of the total moment in μB per formula unit: 3.9

Most stable: version 1